Entry 1:
Computed, not measured: crystalline CoReBMo at its relaxed geometry at the PBE-GGA level of DFT.

a = 5.8239 Å, b = 5.8239 Å, c = 5.8239 Å
α = 90.00°, β = 90.00°, γ = 90.00°
Space group F-43m (No. 216)
Inequivalent atoms, fractional coordinates:
1 Co 0.0000 0.0000 0.0000
2 Re 0.0000 0.0000 0.5000
3 B 0.2500 0.2500 0.7500
4 Mo 0.2500 0.2500 0.2500

Summary:
* ρ: 11.83 Mg/m³

***

Entry 2:
Computed, not measured: crystalline TcAgPt at its relaxed geometry at the PBE-GGA level of DFT.

a = 6.0512 Å, b = 6.0512 Å, c = 6.0512 Å
α = 90.00°, β = 90.00°, γ = 90.00°
Space group F-43m (No. 216)
Inequivalent atoms, fractional coordinates:
1 Tc 0.0000 0.0000 0.0000
2 Ag 0.0000 0.0000 0.5000
3 Pt 0.2500 0.2500 0.7500

Summary:
* ρ: 12.02 Mg/m³

***

Entry 3:
Computed, not measured: crystalline Hf3Mg4 at its relaxed geometry at the PBE-GGA level of DFT.

a = 8.3505 Å, b = 8.3505 Å, c = 5.0591 Å
α = 90.00°, β = 90.00°, γ = 120.00°
Space group P6_3/m (No. 176)
Inequivalent atoms, fractional coordinates:
1 Hf 0.1059 0.4790 0.2500
2 Mg 0.0522 0.2426 0.7500
3 Mg 0.3333 0.6667 0.7500

Summary:
* ρ: 6.88 Mg/m³

***

Entry 4:
Computed, not measured: crystalline PuNiAu at its relaxed geometry at the PBE-GGA level of DFT.

a = 6.2314 Å, b = 6.2314 Å, c = 6.2314 Å
α = 90.00°, β = 90.00°, γ = 90.00°
Space group F-43m (No. 216)
Inequivalent atoms, fractional coordinates:
1 Pu 0.0000 0.0000 0.0000
2 Ni 0.2500 0.2500 0.2500
3 Au 0.0000 0.0000 0.5000

Summary:
* ρ: 13.72 Mg/m³

***

Entry 5:
Computed, not measured: crystalline LaNdAs at its relaxed geometry at the PBE-GGA level of DFT.

a = 7.1384 Å, b = 7.1384 Å, c = 7.1384 Å
α = 90.00°, β = 90.00°, γ = 90.00°
Space group F-43m (No. 216)
Inequivalent atoms, fractional coordinates:
1 La 0.0000 0.0000 0.0000
2 Nd 0.0000 0.0000 0.5000
3 As 0.2500 0.2500 0.2500

Summary:
* ρ: 6.54 Mg/m³

***

Entry 6:
Computed, not measured: crystalline CdFeCuRe at its relaxed geometry at the PBE-GGA level of DFT.

a = 6.0667 Å, b = 6.0667 Å, c = 6.0667 Å
α = 90.00°, β = 90.00°, γ = 90.00°
Space group F-43m (No. 216)
Inequivalent atoms, fractional coordinates:
1 Cd 0.0000 0.0000 0.0000
2 Fe 0.2500 0.2500 0.7500
3 Cu 0.2500 0.2500 0.2500
4 Re 0.0000 0.0000 0.5000

Summary:
* ρ: 12.44 Mg/m³

***

We obtain VASP energy values of -8.753; -5.788; -5.010; -7.143; -5.646; -5.805 eV per atom for the records listed above, in that order.